Compound: Rb2LaWF6
Source: Alexandria
Functional: PBE+U
Structure: optimized geometry

Cell lengths 7.3251, 7.3251, 8.9801 Å; angles 90.00, 90.00, 90.00 degrees
Last column: nearest neighbours and their distance in Å.
Space group I4/mmm (No. 139)
Symmetry-distinct sites (fractional):
Rb: 0.0000 0.5000 0.2500 x4  12 F 3.44-3.67
La: 0.0000 0.0000 0.0000 x2  6 F 2.29-2.39
W: 0.0000 0.0000 0.5000 x2  2 F 2.10
F: 0.0000 0.0000 0.2659 x4  1 W 2.10
F: 0.2212 0.2212 0.0000 x8  1 La 2.29

**Total magnetization**: 0.300 μB per atom
**Energy**: -5.14 eV per atom